# 1
This record from Alexandria via LeMat-Bulk describes a relaxed Tl2NiH2 crystal. The functional is GGA-PBE.

Summary:
- Spin magnetization: 0.0 Bohr magnetons per cell
- Calculated total energy: -2.912 eV/atom
- Calculated volume: 15.53 A^3/atom

Unit cell a=5.8955 b=5.8955 c=4.4677 alpha=90.00 beta=90.00 gamma=90.00
Last column: nearest neighbours and their distance in Å.
Space group P4/mbm (No. 127)
One atom of each set of equivalent atoms:
Tl1 0.1872 0.3128 0.0000 (multiplicity 4)  2 H 2.32
Ni1 0.0000 0.0000 0.5000 (multiplicity 2)  4 H 2.09
H1 0.2399 0.7399 0.5000 (multiplicity 4)  2 Ni 2.09, 2 Tl 2.32

# 2
This record from Alexandria via LeMat-Bulk describes a relaxed Ga2TcBr crystal. The functional is GGA-PBE.

Summary:
- Spin magnetization: 9.0 Bohr magnetons per cell
- Calculated total energy: -3.737 eV/atom
- Calculated volume: 19.87 A^3/atom

Unit cell a=6.8256 b=6.8256 c=6.8256 alpha=90.00 beta=90.00 gamma=90.00
Last column: nearest neighbours and their distance in Å.
Space group Fm-3m (No. 225)
One atom of each set of equivalent atoms:
Ga1 0.2500 0.2500 0.2500 (multiplicity 8)  4 Tc 2.96, 4 Br 2.96
Tc1 0.0000 0.0000 0.0000 (multiplicity 4)  8 Ga 2.96
Br1 0.0000 0.0000 0.5000 (multiplicity 4)  8 Ga 2.96

Number 1: ΔE to the lowest computed polymorph 0.0000 eV/atom, DOS(E_F) 4.39 states/eV per cell. Number 2: ΔE to the lowest computed polymorph 0.2126 eV/atom, DOS(E_F) 9.72 states/eV per cell.